[1]
CaFeOs | PBE-GGA | optimized geometry

The structure in CIF format:
```
data_CaFeOs
_cell_length_a 3.9016
_cell_length_b 3.9016
_cell_length_c 9.3187
_cell_angle_alpha 90.00
_cell_angle_beta 90.00
_cell_angle_gamma 120.00
_symmetry_space_group_name_H-M 'P 63/m m c'
_symmetry_Int_Tables_number 194
_symmetry_space_group_name_Hall '-P 6c 2c'
loop_
_atom_site_label
_atom_site_type_symbol
_atom_site_fract_x
_atom_site_fract_y
_atom_site_fract_z
_atom_site_occupancy
Ca1 Ca 0.0000 0.0000 0.0000 1
Fe1 Fe 0.3333 0.6667 0.2500 1
Os1 Os 0.3333 0.6667 0.7500 1
```

Results
formation energy from the elements = 8.0 kcal/mol of atoms
distance to the lowest polymorph of the same formula = 0.625 eV/f.u.
total moment = 0.000 μB/f.u.



[2]
BaAgPt2 | PBE-GGA | optimized geometry

The structure in CIF format:
```
data_BaAgPt2
_cell_length_a 4.7130
_cell_length_b 4.7130
_cell_length_c 16.3791
_cell_angle_alpha 90.00
_cell_angle_beta 90.00
_cell_angle_gamma 120.00
_symmetry_space_group_name_H-M 'R -3 m'
_symmetry_Int_Tables_number 166
_symmetry_space_group_name_Hall '-R 3 2"'
loop_
_atom_site_label
_atom_site_type_symbol
_atom_site_fract_x
_atom_site_fract_y
_atom_site_fract_z
_atom_site_occupancy
Ba1 Ba 0.0000 0.0000 0.0000 1
Ag1 Ag 0.0000 0.0000 0.5000 1
Pt1 Pt 0.0000 0.0000 0.1836 1
```

Results
formation energy from the elements = -9.7 kcal/mol of atoms
distance to the lowest polymorph of the same formula = 0.057 eV/f.u.
total moment = 0.000 μB/f.u.



[3]
AcDyPd2 | PBE-GGA | optimized geometry

The structure in CIF format:
```
data_AcDyPd2
_cell_length_a 7.342
_cell_length_b 7.342
_cell_length_c 7.342
_cell_angle_alpha 90.00
_cell_angle_beta 90.00
_cell_angle_gamma 90.00
_symmetry_space_group_name_H-M 'F m -3 m'
_symmetry_Int_Tables_number 225
_symmetry_space_group_name_Hall '-F 4 2 3'
loop_
_atom_site_label
_atom_site_type_symbol
_atom_site_fract_x
_atom_site_fract_y
_atom_site_fract_z
_atom_site_occupancy
Ac1 Ac 0.000 0.000 0.000 1
Dy1 Dy 0.000 0.000 0.500 1
Pd1 Pd 0.250 0.250 0.250 1
```

Results
formation energy from the elements = -16.8 kcal/mol of atoms
distance to the lowest polymorph of the same formula = 0.388 eV/f.u.
total moment = 0.000 μB/f.u.



[4]
ScCoSi | PBE-GGA | optimized geometry

The structure in CIF format:
```
data_ScCoSi
_cell_length_a 2.928
_cell_length_b 2.928
_cell_length_c 10.015
_cell_angle_alpha 90.00
_cell_angle_beta 90.00
_cell_angle_gamma 90.00
_symmetry_space_group_name_H-M 'I 4 m m'
_symmetry_Int_Tables_number 107
_symmetry_space_group_name_Hall 'I 4 -2'
loop_
_atom_site_label
_atom_site_type_symbol
_atom_site_fract_x
_atom_site_fract_y
_atom_site_fract_z
_atom_site_occupancy
Sc1 Sc 0.000 0.000 0.000 1
Co1 Co 0.000 0.000 0.314 1
Si1 Si 0.000 0.000 0.702 1
```

Results
formation energy without anion corrections = -0.518 eV/atom
total moment = 0.012 μB/f.u.



[5]
ScGePd6 | PBE-GGA | optimized geometry

The structure in CIF format:
```
data_ScGePd6
_cell_length_a 7.646
_cell_length_b 8.654
_cell_length_c 4.435
_cell_angle_alpha 90.00
_cell_angle_beta 95.37
_cell_angle_gamma 90.00
_symmetry_space_group_name_H-M 'C 1 2/m 1'
_symmetry_Int_Tables_number 12
loop_
_symmetry_equiv_pos_as_xyz
'x,y,z'
'-x,-y,-z'
'-x,y,-z'
'x,-y,z'
'x+1/2,y+1/2,z'
'-x+1/2,-y+1/2,-z'
'-x+1/2,y+1/2,-z'
'x+1/2,-y+1/2,z'
loop_
_atom_site_label
_atom_site_type_symbol
_atom_site_fract_x
_atom_site_fract_y
_atom_site_fract_z
_atom_site_occupancy
Sc1 Sc 0.000 0.000 0.000 1
Ge1 Ge 0.000 0.500 0.500 1
Pd1 Pd 0.124 0.278 0.778 1
Pd2 Pd 0.185 0.000 0.527 1
```

Results
formation energy from the elements = -5.4 kcal/mol of atoms
distance to the lowest polymorph of the same formula = 2.725 eV/f.u.
total moment = 0.000 μB/f.u.



[6]
Ho19Er4Tm6 | PBE-GGA | optimized geometry

The structure in CIF format:
```
data_Ho19Er4Tm6
_cell_length_a 12.328
_cell_length_b 12.328
_cell_length_c 12.328
_cell_angle_alpha 90.00
_cell_angle_beta 90.00
_cell_angle_gamma 90.00
_symmetry_space_group_name_H-M 'I 2 3'
_symmetry_Int_Tables_number 197
_symmetry_space_group_name_Hall 'I 2 2 3'
loop_
_atom_site_label
_atom_site_type_symbol
_atom_site_fract_x
_atom_site_fract_y
_atom_site_fract_z
_atom_site_occupancy
Ho1 Ho 0.000 0.000 0.000 1
Ho2 Ho 0.000 0.000 0.264 1
Ho3 Ho 0.064 0.276 0.737 1
Er1 Er 0.178 0.178 0.178 1
Tm1 Tm 0.000 0.128 0.500 1
```

Results
formation energy from the elements = 9.1 kcal/mol of atoms
total moment = 0.060 μB/f.u.



[7]
La4Pt3Br | PBE-GGA | optimized geometry

The structure in CIF format:
```
data_La4Pt3Br
_cell_length_a 4.2674
_cell_length_b 4.2674
_cell_length_c 44.4996
_cell_angle_alpha 90.00
_cell_angle_beta 90.00
_cell_angle_gamma 120.00
_symmetry_space_group_name_H-M 'R -3 m'
_symmetry_Int_Tables_number 166
_symmetry_space_group_name_Hall '-R 3 2"'
loop_
_atom_site_label
_atom_site_type_symbol
_atom_site_fract_x
_atom_site_fract_y
_atom_site_fract_z
_atom_site_occupancy
La1 La 0.0000 0.0000 0.1135 1
La2 La 0.0000 0.0000 0.3721 1
Pt1 Pt 0.0000 0.0000 0.0000 1
Pt2 Pt 0.0000 0.0000 0.2537 1
Br1 Br 0.0000 0.0000 0.5000 1
```

Results
formation energy without anion corrections = -1.252 eV/atom
total moment = 0.000 μB/f.u.